Entry 1:
## SbTeSeI2 (PBE)

Data for crystalline SbTeSeI2 at its relaxed geometry.

Results
**Magnetic moment**: 2.767 μB/f.u.
**Final energy**: -11.32 eV per cell

Lattice parameters (Å, degrees): 6.0049 6.0049 5.8431 90.00 90.00 90.00
Positions (direct):
Sb 0.0000 0.0000 0.0000
Te 0.0000 0.0000 0.5000
Se 0.5000 0.5000 0.5000
I 0.0000 0.5000 0.0000
I 0.5000 0.0000 0.0000

=====

Entry 2:
## SbTe2SeI (PBE)

Data for crystalline SbTe2SeI at its relaxed geometry.

Results
**Magnetic moment**: 0.000 μB/f.u.
**Final energy**: -12.78 eV per cell

Lattice parameters (Å, degrees): 5.5028 5.5028 5.6036 90.00 90.00 90.00
Positions (direct):
Sb 0.0000 0.0000 0.0000
Te 0.0000 0.5000 0.5000
Te 0.5000 0.0000 0.5000
Se 0.5000 0.5000 0.5000
I 0.5000 0.5000 0.0000

=====

Entry 3:
## SbTeSeI2 (PBE)

Data for crystalline SbTeSeI2 at its relaxed geometry.

Results
**Magnetic moment**: 0.547 μB/f.u.
**Final energy**: -10.39 eV per cell

Lattice parameters (Å, degrees): 5.7433 5.7433 6.2194 90.00 90.00 90.00
Positions (direct):
Sb 0.0000 0.0000 0.0000
Te 0.0000 0.0000 0.5000
Se 0.5000 0.5000 0.0000
I 0.0000 0.5000 0.5000
I 0.5000 0.0000 0.5000

=====

Entry 4:
## SbTe2SeI (PBE)

Data for crystalline SbTe2SeI at its relaxed geometry.

Results
**Magnetic moment**: 2.113 μB/f.u.
**Final energy**: -12.06 eV per cell

Lattice parameters (Å, degrees): 5.7932 5.7932 5.9220 90.00 90.00 90.00
Positions (direct):
Sb 0.0000 0.0000 0.0000
Te 0.0000 0.5000 0.0000
Te 0.5000 0.0000 0.0000
Se 0.5000 0.5000 0.5000
I 0.0000 0.0000 0.5000

=====

Entry 5:
## SbTeSeI2 (PBE)

Data for crystalline SbTeSeI2 at its relaxed geometry.

Results
**Magnetic moment**: 0.000 μB/f.u.
**Final energy**: -11.20 eV per cell

Lattice parameters (Å, degrees): 5.6202 5.6202 5.6239 90.00 90.00 90.00
Positions (direct):
Sb 0.0000 0.0000 0.0000
Te 0.5000 0.5000 0.0000
Se 0.5000 0.5000 0.5000
I 0.0000 0.5000 0.5000
I 0.5000 0.0000 0.5000

=====

Entry 6:
## SbTeSeI2 (PBE)

Data for crystalline SbTeSeI2 at its relaxed geometry.

Results
**Magnetic moment**: 0.000 μB/f.u.
**Final energy**: -11.13 eV per cell

Lattice parameters (Å, degrees): 5.3914 5.3914 6.2348 90.00 90.00 90.00
Positions (direct):
Sb 0.0000 0.0000 0.0000
Te 0.5000 0.5000 0.0000
Se 0.0000 0.0000 0.5000
I 0.0000 0.5000 0.5000
I 0.5000 0.0000 0.5000

=====

Entry 7:
## SbTe2SeI (PBE)

Data for crystalline SbTe2SeI at its relaxed geometry.

Results
**Magnetic moment**: 0.000 μB/f.u.
**Final energy**: -12.87 eV per cell

Lattice parameters (Å, degrees): 5.4717 5.4717 5.6993 90.00 90.00 90.00
Positions (direct):
Sb 0.0000 0.0000 0.0000
Te 0.0000 0.5000 0.5000
Te 0.5000 0.0000 0.5000
Se 0.0000 0.0000 0.5000
I 0.5000 0.5000 0.0000

=====

Entry 8:
## SbTe2SeI (PBE)

Data for crystalline SbTe2SeI at its relaxed geometry.

Results
**Magnetic moment**: 0.001 μB/f.u.
**Final energy**: -9.66 eV per cell

Lattice parameters (Å, degrees): 5.6839 5.6839 6.0181 90.00 90.00 90.00
Positions (direct):
Sb 0.0000 0.0000 0.0000
Te 0.0000 0.5000 0.5000
Te 0.5000 0.0000 0.5000
Se 0.5000 0.5000 0.0000
I 0.0000 0.0000 0.5000

=====

Entry 9:
## Tl2SbSe2I2 (PBE)

Data for crystalline Tl2SbSe2I2 at its relaxed geometry.

Results
**Magnetic moment**: 0.000 μB/f.u.
**Final energy**: -21.18 eV per cell

Lattice parameters (Å, degrees): 9.4270 9.4270 9.4270 146.51 146.51 48.08
Positions (direct):
Tl 0.1188 0.1188 0.0000
Tl 0.8812 0.8812 0.0000
Sb 0.5000 0.5000 0.0000
Se 0.0000 0.5000 0.5000
Se 0.5000 0.0000 0.5000
I 0.3248 0.3248 0.0000
I 0.6752 0.6752 0.0000

=====

Entry 10:
## VSbSeI2 (PBE)

Data for crystalline VSbSeI2 at its relaxed geometry.

Results
**Magnetic moment**: 3.277 μB/f.u.
**Final energy**: -15.11 eV per cell

Lattice parameters (Å, degrees): 5.7416 5.7416 5.4664 90.00 90.00 90.00
Positions (direct):
V 0.0000 0.0000 0.0000
Sb 0.5000 0.5000 0.0000
Se 0.5000 0.5000 0.5000
I 0.0000 0.5000 0.5000
I 0.5000 0.0000 0.5000

=====

Entry 11:
## VSbSeI2 (PBE)

Data for crystalline VSbSeI2 at its relaxed geometry.

Results
**Magnetic moment**: 0.123 μB/f.u.
**Final energy**: -17.83 eV per cell

Lattice parameters (Å, degrees): 5.1065 5.1065 5.5395 90.00 90.00 90.00
Positions (direct):
V 0.0000 0.0000 0.0000
Sb 0.0000 0.0000 0.5000
Se 0.5000 0.5000 0.5000
I 0.0000 0.5000 0.0000
I 0.5000 0.0000 0.0000

=====

Entry 12:
## YSbSeI2 (PBE)

Data for crystalline YSbSeI2 at its relaxed geometry.

Results
**Magnetic moment**: 0.175 μB/f.u.
**Final energy**: -17.63 eV per cell

Lattice parameters (Å, degrees): 5.7835 5.7835 6.3709 90.00 90.00 90.00
Positions (direct):
Y 0.0000 0.0000 0.0000
Sb 0.0000 0.0000 0.5000
Se 0.5000 0.5000 0.5000
I 0.0000 0.5000 0.0000
I 0.5000 0.0000 0.0000

=====

Entry 13:
## YSbSeI2 (PBE)

Data for crystalline YSbSeI2 at its relaxed geometry.

Results
**Magnetic moment**: 0.000 μB/f.u.
**Final energy**: -16.31 eV per cell

Lattice parameters (Å, degrees): 5.6255 5.6255 5.5233 90.00 90.00 90.00
Positions (direct):
Y 0.0000 0.0000 0.0000
Sb 0.5000 0.5000 0.0000
Se 0.5000 0.5000 0.5000
I 0.0000 0.5000 0.5000
I 0.5000 0.0000 0.5000

=====

Entry 14:
## ZnSbSeI2 (PBE)

Data for crystalline ZnSbSeI2 at its relaxed geometry.

Results
**Magnetic moment**: 0.814 μB/f.u.
**Final energy**: -9.51 eV per cell

Lattice parameters (Å, degrees): 5.9328 5.9328 5.4984 90.00 90.00 90.00
Positions (direct):
Zn 0.0000 0.0000 0.0000
Sb 0.5000 0.5000 0.0000
Se 0.5000 0.5000 0.5000
I 0.0000 0.5000 0.5000
I 0.5000 0.0000 0.5000

=====

Entry 15:
## ZnSb2SeI (PBE)

Data for crystalline ZnSb2SeI at its relaxed geometry.

Results
**Magnetic moment**: 0.000 μB/f.u.
**Final energy**: -11.70 eV per cell

Lattice parameters (Å, degrees): 5.3636 5.3636 5.1981 90.00 90.00 90.00
Positions (direct):
Zn 0.0000 0.0000 0.0000
Sb 0.0000 0.5000 0.0000
Sb 0.5000 0.0000 0.0000
Se 0.5000 0.5000 0.5000
I 0.0000 0.0000 0.5000

=====

Entry 16:
## ZnSbSeI2 (PBE)

Data for crystalline ZnSbSeI2 at its relaxed geometry.

Results
**Magnetic moment**: 0.737 μB/f.u.
**Final energy**: -9.62 eV per cell

Lattice parameters (Å, degrees): 5.3364 5.3364 5.6405 90.00 90.00 90.00
Positions (direct):
Zn 0.0000 0.0000 0.0000
Sb 0.0000 0.0000 0.5000
Se 0.5000 0.5000 0.5000
I 0.0000 0.5000 0.0000
I 0.5000 0.0000 0.0000

=====

Entry 17:
## ZnSb2SeI (PBE)

Data for crystalline ZnSb2SeI at its relaxed geometry.

Results
**Magnetic moment**: 0.907 μB/f.u.
**Final energy**: -11.17 eV per cell

Lattice parameters (Å, degrees): 5.4910 5.4910 5.9210 90.00 90.00 90.00
Positions (direct):
Zn 0.0000 0.0000 0.0000
Sb 0.0000 0.5000 0.5000
Sb 0.5000 0.0000 0.5000
Se 0.5000 0.5000 0.5000
I 0.5000 0.5000 0.0000

=====

Entry 18:
## ZrSbSeI2 (PBE)

Data for crystalline ZrSbSeI2 at its relaxed geometry.

Results
**Magnetic moment**: 0.636 μB/f.u.
**Final energy**: -18.59 eV per cell

Lattice parameters (Å, degrees): 5.5190 5.5190 5.9114 90.00 90.00 90.00
Positions (direct):
Zr 0.0000 0.0000 0.0000
Sb 0.0000 0.0000 0.5000
Se 0.5000 0.5000 0.5000
I 0.0000 0.5000 0.0000
I 0.5000 0.0000 0.0000

=====

Entry 19:
## ZrSbSeI2 (PBE)

Data for crystalline ZrSbSeI2 at its relaxed geometry.

Results
**Magnetic moment**: 1.274 μB/f.u.
**Final energy**: -15.44 eV per cell

Lattice parameters (Å, degrees): 5.5688 5.5688 5.4821 90.00 90.00 90.00
Positions (direct):
Zr 0.0000 0.0000 0.0000
Sb 0.5000 0.5000 0.0000
Se 0.5000 0.5000 0.5000
I 0.0000 0.5000 0.5000
I 0.5000 0.0000 0.5000

=====

Entry 20:
## ZrSb2SeI (PBE)

Data for crystalline ZrSb2SeI at its relaxed geometry.

Results
**Magnetic moment**: 0.000 μB/f.u.
**Final energy**: -20.30 eV per cell

Lattice parameters (Å, degrees): 5.6503 5.6503 5.4320 90.00 90.00 90.00
Positions (direct):
Zr 0.0000 0.0000 0.0000
Sb 0.0000 0.5000 0.0000
Sb 0.5000 0.0000 0.0000
Se 0.5000 0.5000 0.5000
I 0.0000 0.0000 0.5000

=====

Entry 21:
## ZrSb2SeI (PBE)

Data for crystalline ZrSb2SeI at its relaxed geometry.

Results
**Magnetic moment**: 0.628 μB/f.u.
**Final energy**: -18.17 eV per cell

Lattice parameters (Å, degrees): 5.3226 5.3226 5.5451 90.00 90.00 90.00
Positions (direct):
Zr 0.0000 0.0000 0.0000
Sb 0.0000 0.5000 0.5000
Sb 0.5000 0.0000 0.5000
Se 0.5000 0.5000 0.5000
I 0.5000 0.5000 0.0000

=====

Entry 22:
## Si3SbI (PBE)

Data for crystalline Si3SbI at its relaxed geometry.

Results
**Magnetic moment**: 0.000 μB/f.u.
**Final energy**: -15.70 eV per cell

Lattice parameters (Å, degrees): 5.3302 5.3302 5.3302 90.00 90.00 90.00
Positions (direct):
Si 0.0000 0.0000 0.5000
Si 0.0000 0.5000 0.0000
Si 0.5000 0.0000 0.0000
Sb 0.0000 0.0000 0.0000
I 0.5000 0.5000 0.5000

=====

Entry 23:
## SiSb2I (PBE)

Data for crystalline SiSb2I at its relaxed geometry.

Results
**Magnetic moment**: 0.000 μB/f.u.
**Final energy**: -27.66 eV per cell

Lattice parameters (Å, degrees): 6.8335 6.8335 6.8335 101.95 101.95 125.86
Positions (direct):
Si 0.0000 0.0000 0.0000
Si 0.7500 0.2500 0.5000
Sb 0.0631 0.1250 0.4381
Sb 0.3750 0.9369 0.0619
Sb 0.6869 0.6250 0.5619
Sb 0.8750 0.3131 0.9381
I 0.2500 0.7500 0.5000
I 0.5000 0.5000 0.0000

=====

Entry 24:
## SiSb3I (PBE)

Data for crystalline SiSb3I at its relaxed geometry.

Results
**Magnetic moment**: 0.000 μB/f.u.
**Final energy**: -12.01 eV per cell

Lattice parameters (Å, degrees): 5.7311 5.7311 5.7311 90.00 90.00 90.00
Positions (direct):
Si 0.0000 0.0000 0.0000
Sb 0.0000 0.5000 0.5000
Sb 0.5000 0.0000 0.5000
Sb 0.5000 0.5000 0.0000
I 0.5000 0.5000 0.5000

=====

Entry 25:
## SiSb2I (PBE)

Data for crystalline SiSb2I at its relaxed geometry.

Results
**Magnetic moment**: 0.000 μB/f.u.
**Final energy**: -12.83 eV per cell

Lattice parameters (Å, degrees): 5.2679 5.2679 5.2679 60.00 60.00 60.00
Positions (direct):
Si 0.0000 0.0000 0.0000
Sb 0.2500 0.2500 0.2500
Sb 0.7500 0.7500 0.7500
I 0.5000 0.5000 0.5000

=====

Entry 26:
## SiSb3I (PBE)

Data for crystalline SiSb3I at its relaxed geometry.

Results
**Magnetic moment**: 0.000 μB/f.u.
**Final energy**: -16.44 eV per cell

Lattice parameters (Å, degrees): 5.3213 5.3213 5.3213 90.00 90.00 90.00
Positions (direct):
Si 0.0000 0.0000 0.0000
Sb 0.0000 0.0000 0.5000
Sb 0.0000 0.5000 0.0000
Sb 0.5000 0.0000 0.0000
I 0.5000 0.5000 0.5000

=====

Entry 27:
## SrSiSb2I (PBE)

Data for crystalline SrSiSb2I at its relaxed geometry.

Results
**Magnetic moment**: 0.639 μB/f.u.
**Final energy**: -12.41 eV per cell

Lattice parameters (Å, degrees): 6.1664 6.1664 6.0035 90.00 90.00 90.00
Positions (direct):
Sr 0.0000 0.0000 0.0000
Si 0.5000 0.5000 0.5000
Sb 0.0000 0.5000 0.0000
Sb 0.5000 0.0000 0.0000
I 0.0000 0.0000 0.5000

=====

Entry 28:
## SrSiSb2I (PBE)

Data for crystalline SrSiSb2I at its relaxed geometry.

Results
**Magnetic moment**: 0.000 μB/f.u.
**Final energy**: -17.44 eV per cell

Lattice parameters (Å, degrees): 5.2704 5.2704 5.9360 90.00 90.00 90.00
Positions (direct):
Sr 0.0000 0.0000 0.0000
Si 0.5000 0.5000 0.5000
Sb 0.0000 0.5000 0.5000
Sb 0.5000 0.0000 0.5000
I 0.5000 0.5000 0.0000

=====

Entry 29:
## SiSbTeI2 (PBE)

Data for crystalline SiSbTeI2 at its relaxed geometry.

Results
**Magnetic moment**: 0.344 μB/f.u.
**Final energy**: -13.43 eV per cell

Lattice parameters (Å, degrees): 5.3163 5.3163 5.7583 90.00 90.00 90.00
Positions (direct):
Si 0.0000 0.0000 0.0000
Sb 0.0000 0.0000 0.5000
Te 0.5000 0.5000 0.5000
I 0.0000 0.5000 0.0000
I 0.5000 0.0000 0.0000